Model A:
ReTcMo2: relaxed, GGA-PBE.

Its total magnetic moment is 0.0 μB/f.u. The density of states at the Fermi level is 7.99 states/eV per cell.

The space group is Cm (No. 8) and the conventional cell measures 9.283, 2.788 and 4.839 Å, with angles of 90.00, 99.65 and 90.00 degrees. The asymmetric unit holds Re at (0.000, 0.000, 0.000), Tc at (0.239, 0.500, 0.245), Mo at (0.249, 0.000, 0.754) and Mo at (0.489, 0.000, 0.490).

=====

Model B:
ReTcMo2: relaxed, GGA-PBE.

Its total magnetic moment is 0.0 μB/f.u. The density of states at the Fermi level is 16.06 states/eV per cell.

The space group is Fm-3m (No. 225) and the conventional cell measures 6.265, 6.265 and 6.265 Å, with angles of 90.00, 90.00 and 90.00 degrees. The asymmetric unit holds Re at (0.000, 0.000, 0.000), Tc at (0.000, 0.000, 0.500) and Mo at (0.250, 0.250, 0.250).

=====

Most favorable structure: model B. The second most favorable one is 98 meV/atom above it.

=====

Model A:
ReTcMo2: relaxed, GGA-PBE.

Its total magnetic moment is 0.0 μB/f.u. The density of states at the Fermi level is 6.46 states/eV per cell.

The space group is Cmmm (No. 65) and the conventional cell measures 5.639, 7.807 and 2.800 Å, with angles of 90.00, 90.00 and 90.00 degrees. The asymmetric unit holds Re at (0.000, 0.000, 0.000), Tc at (0.000, 0.500, 0.000) and Mo at (0.250, 0.250, 0.500).

=====

Model B:
ReTcMo2: relaxed, GGA-PBE.

Its total magnetic moment is 0.0 μB/f.u. The density of states at the Fermi level is 7.22 states/eV per cell.

The space group is C2/m (No. 12) and the conventional cell measures 5.434, 8.868 and 2.705 Å, with angles of 90.00, 109.58 and 90.00 degrees. The asymmetric unit holds Re at (0.000, 0.000, 0.000), Tc at (0.000, 0.500, 0.000) and Mo at (0.250, 0.250, 0.500).

=====

Model C:
ReTcMo2: relaxed, GGA-PBE.

Its total magnetic moment is 0.0 μB/f.u. The density of states at the Fermi level is 17.01 states/eV per cell.

The space group is I-42d (No. 122) and the conventional cell measures 7.143, 7.143 and 5.198 Å, with angles of 90.00, 90.00 and 90.00 degrees. The asymmetric unit holds Re at (0.000, 0.000, 0.000), Tc at (0.000, 0.000, 0.500) and Mo at (0.250, 0.250, 0.125).

=====

Most favorable structure: model B. The second most favorable one is 86 meV/atom above it.

=====

Model A:
ReTcMo2: relaxed, GGA-PBE.

Its total magnetic moment is 0.0 μB/f.u. The density of states at the Fermi level is 3.12 states/eV per cell.

The space group is P4/mmm (No. 123) and the conventional cell measures 3.963, 3.963 and 3.922 Å, with angles of 90.00, 90.00 and 90.00 degrees. The asymmetric unit holds Re at (0.000, 0.000, 0.000), Tc at (0.500, 0.500, 0.000) and Mo at (0.000, 0.500, 0.500).

=====

Model B:
ReTcMo2: relaxed, GGA-PBE.

Its total magnetic moment is 0.0 μB/f.u. The density of states at the Fermi level is 3.82 states/eV per cell.

The space group is Pmmm (No. 47) and the conventional cell measures 3.112, 4.431 and 4.455 Å, with angles of 90.00, 90.00 and 90.00 degrees. The asymmetric unit holds Re at (0.000, 0.000, 0.000), Tc at (0.500, 0.000, 0.500), Mo at (0.000, 0.500, 0.500) and Mo at (0.500, 0.500, 0.000).

=====

Model C:
ReTcMo2: relaxed, GGA-PBE.

Its total magnetic moment is 0.0 μB/f.u. The density of states at the Fermi level is 4.11 states/eV per cell.

The space group is Pmm2 (No. 25) and the conventional cell measures 2.780, 3.954 and 5.611 Å, with angles of 90.00, 90.00 and 90.00 degrees. The asymmetric unit holds Re at (0.000, 0.000, 0.000), Tc at (0.500, 0.500, 0.243), Mo at (0.000, 0.000, 0.490) and Mo at (0.500, 0.500, 0.752).

=====

Most favorable structure: model B. The second most favorable one is 80 meV/atom above it.

=====

Model A:
Re2TcMo: relaxed, GGA-PBE.

Its total magnetic moment is 0.0 μB/f.u. The density of states at the Fermi level is 6.33 states/eV per cell.

The space group is C2/m (No. 12) and the conventional cell measures 9.246, 2.777 and 4.791 Å, with angles of 90.00, 99.83 and 90.00 degrees. The asymmetric unit holds Re at (0.245, 0.000, 0.244), Tc at (0.000, 0.500, 0.000) and Mo at (0.000, 0.000, 0.500).

=====

Model B:
Re2TcMo: relaxed, GGA-PBE.

Its total magnetic moment is 0.0 μB/f.u. The density of states at the Fermi level is 4.32 states/eV per cell.

The space group is P4/mmm (No. 123) and the conventional cell measures 4.431, 4.431 and 3.094 Å, with angles of 90.00, 90.00 and 90.00 degrees. The asymmetric unit holds Re at (0.000, 0.500, 0.000), Tc at (0.000, 0.000, 0.500) and Mo at (0.500, 0.500, 0.500).

=====

Most favorable structure: model A. The second most favorable one is 84 meV/atom above it.